# 1
Compound: Er2NpTl3S6
Source: Alexandria
Functional: GGA-PBE
Structure: relaxed

abc: 6.9761 12.0821 7.8738
angles: 90.00 107.18 90.00
With the nearest neighbours (Å) after each atom.
Space group C2/m (No. 12)
Inequivalent atoms, fractional coordinates:
Er 0.0000 0.1667 0.0000 [4 per cell]  6 S 2.74
Np 0.0000 0.5000 0.0000 [2 per cell]  6 S 2.78
Tl 0.0000 0.0000 0.5000 [2 per cell]  6 S 3.24-3.27
Tl 0.0000 0.3337 0.5000 [4 per cell]  6 S 3.24-3.27
S 0.2271 0.0000 0.1957 [4 per cell]  2 Er 2.74, 1 Np 2.78
S 0.2345 0.3309 0.1962 [8 per cell]  2 Er 2.74, 1 Np 2.78

Results
E_form (uncorrected): -1.3180 eV/atom


# 2
Compound: Er3NpTl3S8
Source: Alexandria
Functional: GGA-PBE
Structure: relaxed

abc: 7.9667 7.9667 22.7348
angles: 90.00 90.00 120.00
With the nearest neighbours (Å) after each atom.
Space group R-3m (No. 166, hexagonal axes)
Inequivalent atoms, fractional coordinates:
Er 0.0000 0.5000 0.0000 [9 per cell]  6 S 2.73
Np 0.0000 0.0000 0.0000 [3 per cell]  6 S 2.70
Tl 0.0000 0.5000 0.5000 [9 per cell]  6 S 3.26
S 0.0000 0.0000 0.2684 [6 per cell]  3 Er 2.73
S 0.0036 0.5018 0.7309 [18 per cell]  1 Np 2.70, 2 Er 2.73

Results
E_form (uncorrected): -1.4450 eV/atom


# 3
Compound: Er3NpTl4S8
Source: Alexandria
Functional: GGA-PBE
Structure: relaxed

abc: 8.0323 8.0323 22.5829
angles: 90.00 90.00 120.00
With the nearest neighbours (Å) after each atom.
Space group R-3m (No. 166, hexagonal axes)
Inequivalent atoms, fractional coordinates:
Er 0.0000 0.5000 0.0000 [9 per cell]  6 S 2.74-2.75
Np 0.0000 0.0000 0.0000 [3 per cell]  6 S 2.77
Tl 0.0000 0.0000 0.5000 [3 per cell]  6 S 3.24
Tl 0.0000 0.5000 0.5000 [9 per cell]  6 S 3.26-3.27
S 0.0000 0.0000 0.2683 [6 per cell]  3 Er 2.75
S 0.0040 0.5020 0.2679 [18 per cell]  2 Er 2.74, 1 Np 2.77

Results
E_form (uncorrected): -1.3610 eV/atom


# 4
Compound: Y2ErNpS6
Source: Alexandria
Functional: GGA-PBE
Structure: relaxed

abc: 6.9257 6.9257 18.6235
angles: 90.00 90.00 120.00
With the nearest neighbours (Å) after each atom.
Space group R3 (No. 146, hexagonal axes)
Inequivalent atoms, fractional coordinates:
Y 0.0000 0.0000 0.0000 [3 per cell]  6 S 2.73-2.80
Y 0.0000 0.0000 0.4975 [3 per cell]  6 S 2.73-2.78
Er 0.0000 0.0000 0.7998 [3 per cell]  6 S 2.71-2.76
Np 0.0000 0.0000 0.2979 [3 per cell]  6 S 2.76-2.83
S 0.0031 0.3051 0.3995 [9 per cell]  1 Er 2.71, 2 Y 2.73-2.78, 1 Np 2.83
S 0.0387 0.6722 0.5652 [9 per cell]  2 Y 2.73-2.80, 1 Np 2.76, 1 Er 2.76

Results
E_form (uncorrected): -1.8487 eV/atom


# 5
Compound: Er2NpSb3
Source: Alexandria
Functional: GGA-PBE
Structure: relaxed

abc: 8.7420 12.3534 26.2050
angles: 90.00 90.00 90.00
With the nearest neighbours (Å) after each atom.
Space group Fddd (No. 70, origin choice 2)
Inequivalent atoms, fractional coordinates:
Er 0.1250 0.1250 0.0417 [16 per cell]  6 Sb 3.08-3.09
Er 0.1250 0.1250 0.3753 [16 per cell]  6 Sb 3.08-3.09
Np 0.1250 0.1250 0.5416 [16 per cell]  6 Sb 3.10
Sb 0.1235 0.3743 0.2081 [32 per cell]  4 Er 3.08-3.09, 2 Np 3.10
Sb 0.1229 0.3750 0.3750 [16 per cell]  4 Er 3.08-3.09, 2 Np 3.10

Results
E_form (uncorrected): -0.7854 eV/atom


# 6
Compound: ErNpSb2
Source: Alexandria
Functional: GGA-PBE
Structure: relaxed

abc: 4.3653 4.3653 21.5272
angles: 90.00 90.00 120.00
With the nearest neighbours (Å) after each atom.
Space group R-3m (No. 166, hexagonal axes)
Inequivalent atoms, fractional coordinates:
Er 0.0000 0.0000 0.0000 [3 per cell]  6 Sb 3.08
Np 0.0000 0.0000 0.5000 [3 per cell]  6 Sb 3.11
Sb 0.0000 0.0000 0.2510 [6 per cell]  3 Er 3.08, 3 Np 3.11

Results
excess energy over the best structure of this formula in the dataset: 0.000 eV per atom
E_form (uncorrected): -0.6380 eV/atom


# 7
Compound: ErNp2Sb3
Source: Alexandria
Functional: GGA-PBE
Structure: relaxed

abc: 4.3850 4.3850 18.5460
angles: 90.00 90.00 90.00
With the nearest neighbours (Å) after each atom.
Space group I4/mmm (No. 139)
Inequivalent atoms, fractional coordinates:
Er 0.0000 0.0000 0.0000 [2 per cell]  6 Sb 3.07-3.10
Np 0.0000 0.0000 0.3333 [4 per cell]  6 Sb 3.09-3.11
Sb 0.0000 0.0000 0.1657 [4 per cell]  1 Er 3.07, 5 Np 3.10-3.11
Sb 0.0000 0.0000 0.5000 [2 per cell]  2 Np 3.09, 4 Er 3.10

Results
E_form (uncorrected): -0.4851 eV/atom


# 8
Compound: ErNpSb2
Source: Alexandria
Functional: GGA-PBE
Structure: relaxed

abc: 4.2450 4.2450 22.9861
angles: 90.00 90.00 120.00
With the nearest neighbours (Å) after each atom.
Space group R3m (No. 160, hexagonal axes)
Inequivalent atoms, fractional coordinates:
Er 0.0000 0.0000 0.0000 [3 per cell]  6 Sb 3.05-3.10
Np 0.0000 0.0000 0.1701 [3 per cell]  6 Sb 3.13-3.17
Sb 0.0000 0.0000 0.4161 [3 per cell]  3 Er 3.10, 3 Np 3.17
Sb 0.0000 0.0000 0.5881 [3 per cell]  3 Er 3.05, 3 Np 3.13

Results
excess energy over the best structure of this formula in the dataset: 0.096 eV per atom
E_form (uncorrected): -0.5422 eV/atom


# 9
Compound: ErNpSb2
Source: Alexandria
Functional: GGA-PBE
Structure: relaxed

abc: 5.2536 5.2536 3.8257
angles: 90.00 90.00 90.00
With the nearest neighbours (Å) after each atom.
Space group P4/mmm (No. 123)
Inequivalent atoms, fractional coordinates:
Er 0.0000 0.0000 0.0000 [1 per cell]  8 Sb 3.25
Np 0.5000 0.5000 0.0000 [1 per cell]  8 Sb 3.25
Sb 0.0000 0.5000 0.5000 [2 per cell]  4 Er 3.25, 4 Np 3.25

Results
excess energy over the best structure of this formula in the dataset: 0.209 eV per atom
E_form (uncorrected): -0.4286 eV/atom


# 10
Compound: ErNpSc2Sb4
Source: Alexandria
Functional: GGA-PBE
Structure: relaxed

abc: 7.3867 4.2663 7.4033
angles: 90.00 109.32 90.00
With the nearest neighbours (Å) after each atom.
Space group P2/m (No. 10)
Inequivalent atoms, fractional coordinates:
Er 0.0000 0.0000 0.0000 [1 per cell]  6 Sb 3.07
Np 0.0000 0.5000 0.5000 [1 per cell]  6 Sb 3.07-3.09
Sc 0.5000 0.0000 0.5000 [1 per cell]  6 Sb 2.97
Sc 0.5000 0.5000 0.0000 [1 per cell]  6 Sb 2.95-2.96
Sb 0.2632 0.5000 0.2536 [2 per cell]  3 Sc 2.96-2.97, 2 Er 3.07, 1 Np 3.07
Sb 0.2654 0.0000 0.7567 [2 per cell]  3 Sc 2.95-2.97, 1 Er 3.07, 2 Np 3.09

Results
E_form (uncorrected): -0.7793 eV/atom


# 11
Compound: Sm2ErNpSb4
Source: Alexandria
Functional: GGA-PBE
Structure: relaxed

abc: 7.6580 4.4208 7.6660
angles: 90.00 109.31 90.00
With the nearest neighbours (Å) after each atom.
Space group P2/m (No. 10)
Inequivalent atoms, fractional coordinates:
Sm 0.0000 0.0000 0.0000 [1 per cell]  6 Sb 3.15
Sm 0.5000 0.5000 0.0000 [1 per cell]  6 Sb 3.16
Er 0.0000 0.5000 0.5000 [1 per cell]  6 Sb 3.09-3.10
Np 0.5000 0.0000 0.5000 [1 per cell]  6 Sb 3.10-3.11
Sb 0.2469 0.0000 0.7424 [2 per cell]  2 Er 3.10, 1 Np 3.10, 3 Sm 3.15-3.16
Sb 0.2506 0.5000 0.2560 [2 per cell]  1 Er 3.09, 2 Np 3.11, 3 Sm 3.15-3.16

Results
E_form (uncorrected): -0.9012 eV/atom